[1]
Density functional theory data (PBE) for crystalline LuHfTh at its relaxed geometry.

Results
- E (Ry/atom) = -0.5285
- DOS at the Fermi energy (states/eV/atom) = 1.089
- total moment (μB/cell) = 0.00
- excess energy over the best structure of this formula in the dataset (meV/atom) = 0

The structure in POSCAR format:
```
LuHfTh
1.0
-1.671 1.671 7.463
1.671 -1.671 7.463
1.671 1.671 -7.463
Lu Hf Th
1 1 1
Direct
0.000 0.000 0.000
0.652 0.652 0.000
0.315 0.315 0.000
```

=====

[2]
Density functional theory data (PBE) for crystalline LuHfTh at its relaxed geometry.

Results
- E (Ry/atom) = -0.5266
- DOS at the Fermi energy (states/eV/atom) = 1.051
- total moment (μB/cell) = 0.00
- excess energy over the best structure of this formula in the dataset (meV/atom) = 26

The structure in POSCAR format:
```
LuHfTh
1.0
5.346 0.000 0.000
-2.673 4.630 0.000
0.000 0.000 3.394
Lu Hf Th
1 1 1
Direct
0.000 0.000 0.000
0.333 0.667 0.000
0.667 0.333 0.500
```

=====

[3]
Density functional theory data (PBE) for crystalline TmLuHfTh at its relaxed geometry.

Results
- E (Ry/atom) = -0.4711
- DOS at the Fermi energy (states/eV/atom) = 1.600
- total moment (μB/cell) = 0.00

The structure in POSCAR format:
```
TmLuHfTh
1.0
0.000 3.826 3.826
3.826 0.000 3.826
3.826 3.826 0.000
Tm Lu Hf Th
1 1 1 1
Direct
0.000 0.000 0.000
0.250 0.250 0.250
0.750 0.750 0.750
0.500 0.500 0.500
```

=====

[4]
Density functional theory data (PBE) for crystalline LuHf2Ti at its relaxed geometry.

Results
- E (Ry/atom) = -0.5824
- DOS at the Fermi energy (states/eV/atom) = 1.435
- total moment (μB/cell) = 0.00
- excess energy over the best structure of this formula in the dataset (meV/atom) = 0

The structure in POSCAR format:
```
LuHf2Ti
1.0
3.572 0.000 0.000
0.000 3.572 0.000
0.000 0.000 7.085
Lu Hf Ti
1 2 1
Direct
0.000 0.000 0.000
0.500 0.500 0.295
0.500 0.500 0.705
0.000 0.000 0.500
```

=====

Number 1: ΔH_f (0 K) 107 meV/atom. Number 2: ΔH_f (0 K) 133 meV/atom. Number 3: ΔH_f (0 K) 181 meV/atom. Number 4: ΔH_f (0 K) 157 meV/atom.